Entry 1:
16
Lattice="6.3914 0.0000 0.0000 0.0000 6.3914 0.0000 0.0000 0.0000 6.3914" Properties=species:S:1:pos:R:3 comment="SCAN Na2IrPt, single point on PBEsol structure" mass_density_g_cm3=11.02 formation_energy_ev_per_atom=0.701 space_group="Fm-3m (225)" dos_ef_per_ev_cell=12.9 pbc="T T T"
Na 1.5979 1.5979 1.5979
Na 1.5979 1.5979 4.7936
Na 1.5979 4.7936 1.5979
Na 1.5979 4.7936 4.7936
Na 4.7936 1.5979 1.5979
Na 4.7936 1.5979 4.7936
Na 4.7936 4.7936 1.5979
Na 4.7936 4.7936 4.7936
Ir 0.0000 0.0000 0.0000
Ir 0.0000 3.1957 3.1957
Ir 3.1957 0.0000 3.1957
Ir 3.1957 3.1957 0.0000
Pt 0.0000 0.0000 3.1957
Pt 0.0000 3.1957 0.0000
Pt 3.1957 0.0000 0.0000
Pt 3.1957 3.1957 3.1957

***

Entry 2:
6
Lattice="0.0000 4.7123 4.7123 4.7123 0.0000 4.7123 4.7123 4.7123 0.0000" Properties=species:S:1:pos:R:3 comment="SCAN SrCa4W, single point on PBEsol structure" mass_density_g_cm3=3.43 formation_energy_ev_per_atom=1.011 space_group="F-43m (216)" dos_ef_per_ev_cell=1.6 pbc="T T T"
Sr 0.0000 0.0000 0.0000
Ca 5.8776 3.5471 3.5471
Ca 3.5471 5.8776 3.5471
Ca 3.5471 3.5471 5.8776
Ca 5.8776 5.8776 5.8776
W 2.3562 2.3562 2.3562

***

Entry 3:
16
Lattice="5.9421 0.0000 0.0000 0.0000 5.9421 0.0000 0.0000 0.0000 5.9421" Properties=species:S:1:pos:R:3 comment="SCAN TaMnP2, single point on PBEsol structure" mass_density_g_cm3=9.43 e_above_lowest_polymorph_mev_per_atom=363 formation_energy_ev_per_atom=-0.295 space_group="Fm-3m (225)" dos_ef_per_ev_cell=4.6 pbc="T T T"
Ta 0.0000 0.0000 0.0000
Ta 0.0000 2.9711 2.9711
Ta 2.9711 0.0000 2.9711
Ta 2.9711 2.9711 0.0000
Mn 0.0000 0.0000 2.9711
Mn 0.0000 2.9711 0.0000
Mn 2.9711 0.0000 0.0000
Mn 2.9711 2.9711 2.9711
P 1.4855 1.4855 1.4855
P 1.4855 1.4855 4.4566
P 1.4855 4.4566 1.4855
P 1.4855 4.4566 4.4566
P 4.4566 1.4855 1.4855
P 4.4566 1.4855 4.4566
P 4.4566 4.4566 1.4855
P 4.4566 4.4566 4.4566

***

Entry 4:
8
Lattice="3.5755 0.0000 0.0000 0.0000 3.5755 0.0000 0.0000 0.0000 6.9530" Properties=species:S:1:pos:R:3 comment="SCAN ZnCuNi2, single point on PBEsol structure" mass_density_g_cm3=9.20 formation_energy_ev_per_atom=-0.055 space_group="I-4m2 (119)" dos_ef_per_ev_cell=7.1 pbc="T T T"
Zn 0.0000 0.0000 0.0000
Zn 1.7878 1.7878 3.4765
Cu 0.0000 1.7878 1.7382
Cu 1.7878 0.0000 5.2147
Ni 0.0000 0.0000 3.4765
Ni 0.0000 1.7878 5.2147
Ni 1.7878 0.0000 1.7382
Ni 1.7878 1.7878 0.0000

***

Entry 5:
4
Lattice="3.2671 0.0000 0.0000 0.0000 3.3783 0.0000 0.0000 0.0000 3.8206" Properties=species:S:1:pos:R:3 comment="SCAN BeNi2Ru, single point on PBEsol structure" mass_density_g_cm3=8.96 formation_energy_ev_per_atom=-0.081 space_group="Pmmm (47)" dos_ef_per_ev_cell=2.3 pbc="T T T"
Be 0.0000 0.0000 0.0000
Ni 0.0000 1.6891 1.9103
Ni 1.6335 0.0000 1.9103
Ru 1.6335 1.6891 0.0000

***

Entry 6:
106
Lattice="10.9003 0.0000 0.0000 -5.4502 9.4400 0.0000 0.0000 0.0000 17.5558" Properties=species:S:1:pos:R:3 comment="SCAN Er6Al43W4, single point on PBEsol structure" mass_density_g_cm3=5.33 formation_energy_ev_per_atom=-0.287 space_group="P6_3/mcm (193)" dos_ef_per_ev_cell=39.4 pbc="T T T"
Er -2.5482 4.4137 1.6758
Er -2.5482 4.4137 7.1021
Er -2.9019 5.0263 10.4537
Er -2.9019 5.0263 15.8800
Er 5.0964 0.0000 1.6758
Er 5.0964 0.0000 7.1021
Er 2.5482 4.4137 10.4537
Er 2.5482 4.4137 15.8800
Er 5.8039 0.0000 10.4537
Er 5.8039 0.0000 15.8800
Er 2.9019 5.0263 1.6758
Er 2.9019 5.0263 7.1021
Al -0.8092 1.4015 13.1669
Al -0.8738 1.5134 2.0089
Al -0.8738 1.5134 6.7690
Al -1.3889 2.4057 9.3050
Al -1.3889 2.4057 17.0287
Al -4.0612 7.0343 0.5271
Al -4.0612 7.0343 8.2508
Al -4.5764 7.9266 10.7868
Al -4.5764 7.9266 15.5469
Al -4.6410 8.0384 4.3890
Al 1.6183 0.0000 13.1669
Al 0.8092 1.4015 4.3890
Al -1.3972 5.2106 4.3890
Al -1.6363 5.6246 13.1669
Al -0.4353 3.7246 11.6434
Al -0.4353 3.7246 14.6903
Al -2.4423 7.2007 2.8655
Al -2.4423 7.2007 5.9124
Al 1.7475 0.0000 2.0089
Al 1.7475 0.0000 6.7690
Al 0.8738 1.5134 10.7868
Al 0.8738 1.5134 15.5469
Al 0.4353 3.7246 2.8655
Al 0.4353 3.7246 5.9124
Al -2.0069 7.9547 11.6434
Al -2.0069 7.9547 14.6903
Al 0.0000 4.6618 0.0000
Al 0.0000 4.6618 8.7779
Al -1.4129 7.1091 0.0000
Al -1.4129 7.1091 8.7779
Al 2.7779 0.0000 9.3050
Al 2.7779 0.0000 17.0287
Al 1.3889 2.4057 0.5271
Al 1.3889 2.4057 8.2508
Al 0.0000 6.2933 2.1943
Al 0.0000 6.2933 6.5836
Al 0.0000 6.2933 10.9722
Al 0.0000 6.2933 15.3615
Al 3.4432 1.4853 11.6434
Al 3.4432 1.4853 14.6903
Al 3.0079 2.2393 2.8655
Al 3.0079 2.2393 5.9124
Al 1.3972 5.2106 13.1669
Al -0.2390 8.0447 4.3890
Al 1.6363 5.6246 4.3890
Al 0.2390 8.0447 13.1669
Al 4.0372 2.3309 0.0000
Al 4.0372 2.3309 8.7779
Al 1.4129 7.1091 0.0000
Al 1.4129 7.1091 8.7779
Al 5.2112 1.3953 4.3890
Al 3.8139 3.8154 13.1669
Al 5.6892 1.3953 13.1669
Al 4.0529 4.2293 4.3890
Al 2.4423 7.2007 11.6434
Al 2.4423 7.2007 14.6903
Al 2.0069 7.9547 2.8655
Al 2.0069 7.9547 5.9124
Al 5.4502 3.1467 2.1943
Al 5.4502 3.1467 6.5836
Al 5.4502 3.1467 10.9722
Al 5.4502 3.1467 15.3615
Al 8.1225 0.0000 0.5271
Al 8.1225 0.0000 8.2508
Al 4.0612 7.0343 9.3050
Al 4.0612 7.0343 17.0287
Al 6.8631 2.3309 0.0000
Al 6.8631 2.3309 8.7779
Al 5.4502 4.7782 0.0000
Al 5.4502 4.7782 8.7779
Al 7.4571 1.4853 2.8655
Al 7.4571 1.4853 5.9124
Al 5.0148 5.7154 11.6434
Al 5.0148 5.7154 14.6903
Al 9.1528 0.0000 10.7868
Al 9.1528 0.0000 15.5469
Al 4.5764 7.9266 2.0089
Al 4.5764 7.9266 6.7690
Al 7.8924 2.2393 11.6434
Al 7.8924 2.2393 14.6903
Al 5.8855 5.7154 2.8655
Al 5.8855 5.7154 5.9124
Al 9.2820 0.0000 4.3890
Al 7.0864 3.8154 4.3890
Al 6.8474 4.2293 13.1669
Al 4.6410 8.0384 13.1669
W 0.0000 0.0000 0.0000
W 0.0000 0.0000 8.7779
W -1.4804 2.5642 4.3890
W -3.9697 6.8757 13.1669
W 2.9609 0.0000 4.3890
W 1.4804 2.5642 13.1669
W 7.9394 0.0000 13.1669
W 3.9697 6.8757 4.3890

***

What did the third record say?
16
Lattice="5.9421 0.0000 0.0000 0.0000 5.9421 0.0000 0.0000 0.0000 5.9421" Properties=species:S:1:pos:R:3 comment="SCAN TaMnP2, single point on PBEsol structure" mass_density_g_cm3=9.43 e_above_lowest_polymorph_mev_per_atom=363 formation_energy_ev_per_atom=-0.295 space_group="Fm-3m (225)" dos_ef_per_ev_cell=4.6 pbc="T T T"
Ta 0.0000 0.0000 0.0000
Ta 0.0000 2.9711 2.9711
Ta 2.9711 0.0000 2.9711
Ta 2.9711 2.9711 0.0000
Mn 0.0000 0.0000 2.9711
Mn 0.0000 2.9711 0.0000
Mn 2.9711 0.0000 0.0000
Mn 2.9711 2.9711 2.9711
P 1.4855 1.4855 1.4855
P 1.4855 1.4855 4.4566
P 1.4855 4.4566 1.4855
P 1.4855 4.4566 4.4566
P 4.4566 1.4855 1.4855
P 4.4566 1.4855 4.4566
P 4.4566 4.4566 1.4855
P 4.4566 4.4566 4.4566